1.
! YAlCoHg GGA-PBE optimized geometry; values from VASP
&SYSTEM
  ibrav = 0, nat = 4, ntyp = 4
/
ATOMIC_SPECIES
Y 88.91 Y.upf
Al 26.98 Al.upf
Co 58.93 Co.upf
Hg 200.59 Hg.upf
CELL_PARAMETERS angstrom
0.000 3.347 3.347
3.347 0.000 3.347
3.347 3.347 0.000
ATOMIC_POSITIONS angstrom
Y 0.000 0.000 0.000
Al 1.674 1.674 1.674
Co 3.347 3.347 3.347
Hg 5.021 5.021 5.021
! total magnetic moment	0.58	μB per cell
! energy relative to the lowest polymorph listed for this composition	0.33	eV per formula unit
! V	18.7	Å³ per atom

***

2.
! PrBTe GGA-PBE optimized geometry; values from VASP
&SYSTEM
  ibrav = 0, nat = 3, ntyp = 3
/
ATOMIC_SPECIES
Pr 140.91 Pr.upf
B 10.81 B.upf
Te 127.60 Te.upf
CELL_PARAMETERS angstrom
0.000 3.518 3.518
3.518 0.000 3.518
3.518 3.518 0.000
ATOMIC_POSITIONS angstrom
Pr 0.000 0.000 0.000
B 3.518 3.518 3.518
Te 5.278 5.278 5.278
! total magnetic moment	0.00	μB per cell
! energy relative to the lowest polymorph listed for this composition	1.25	eV per formula unit
! V	29.0	Å³ per atom

***

3.
! Cs2CdPdBr6 GGA-PBE optimized geometry; values from VASP
&SYSTEM
  ibrav = 0, nat = 10, ntyp = 4
/
ATOMIC_SPECIES
Cs 132.91 Cs.upf
Cd 112.41 Cd.upf
Pd 106.42 Pd.upf
Br 79.90 Br.upf
CELL_PARAMETERS angstrom
0.000 5.472 5.472
5.472 0.000 5.472
5.472 5.472 0.000
ATOMIC_POSITIONS angstrom
Cs 2.736 2.736 2.736
Cs 8.208 8.208 8.208
Cd 0.000 0.000 0.000
Pd 5.472 5.472 5.472
Br 5.472 5.472 2.819
Br 5.472 2.819 5.472
Br 8.126 5.472 5.472
Br 2.819 5.472 5.472
Br 5.472 8.126 5.472
Br 5.472 5.472 8.126
! V	32.8	Å³ per atom
! electronic total energy	-28.2	eV/f.u.

***

4.
! AlNi3 GGA-PBE optimized geometry; values from VASP
&SYSTEM
  ibrav = 0, nat = 24, ntyp = 2
/
ATOMIC_SPECIES
Al 26.98 Al.upf
Ni 58.69 Ni.upf
CELL_PARAMETERS angstrom
4.795 0.000 0.000
-2.398 4.153 0.000
0.000 0.000 14.562
ATOMIC_POSITIONS angstrom
Al 0.000 1.362 3.641
Al -1.218 3.472 3.641
Al 1.180 0.681 10.922
Al 1.218 3.472 3.641
Al 3.616 0.681 10.922
Al 2.398 2.791 10.922
Ni 0.000 0.000 1.391
Ni 0.000 0.000 5.890
Ni 0.000 0.000 8.673
Ni 0.000 0.000 13.171
Ni -1.199 2.076 0.000
Ni -1.199 2.076 7.281
Ni 0.000 2.769 1.835
Ni 0.000 2.769 5.446
Ni 0.000 2.769 9.583
Ni 0.000 2.769 12.260
Ni 2.398 0.000 0.000
Ni 2.398 0.000 7.281
Ni 1.199 2.076 0.000
Ni 1.199 2.076 7.281
Ni 2.398 1.384 2.302
Ni 2.398 1.384 4.979
Ni 2.398 1.384 9.116
Ni 2.398 1.384 12.727
! total magnetic moment	0.97	μB per cell
! V	12.1	Å³ per atom
! electronic total energy	-20.3	eV/f.u.